Here is a geometry-optimized Ac8Ir2N structure from the Alexandria database. Energies are from GGA-PBE.

Properties
The uncorrected energy comes out at -5.60 eV/atom. Its uncorrected formation energy is -0.246 eV/atom.

a b c (Å): 8.9043 8.9043 6.1456
angles (deg): 90.00 90.00 120.00
Last column: nearest neighbours and their distance in Å.
Space group P-3m1 (No. 164)
Symmetry-distinct sites (fractional):
Ac1 0.1461 0.2922 0.2597 x6  1 N 2.69, 1 Ir 2.89
Ac2 0.3333 0.6667 0.7624 x2  2 Ir 3.04-3.10
Ir1 0.3333 0.6667 0.2574 x2  5 Ac 2.89-3.10
N1 0.0000 0.0000 0.5000 x1  6 Ac 2.69